[1]
## La2TaCl (PBE)

Data for a geometry-optimized La2TaCl structure.

Cell lengths 3.4780, 6.8769, 4.7670 Å; angles 90.00, 90.00, 90.00 degrees
Atoms (fractional coordinates):
1 Cl 0.0000 0.5000 0.5000
2 La 0.0000 0.0000 0.0000
3 La 0.5000 0.5000 0.0000
4 Ta 0.5000 0.0000 0.5000

Results
* magnetization: 0.7 μB/cell
* energy relative to the elements, uncorrected: 0.184 eV/atom
* D(E_F): 5.81 states/eV per cell
* crystal system: orthorhombic

[2]
## La2TaCl (PBE)

Data for a geometry-optimized La2TaCl structure.

Cell lengths 5.2817, 5.2817, 5.2817 Å; angles 60.00, 60.00, 60.00 degrees
Atoms (fractional coordinates):
1 Cl 0.5000 0.5000 0.5000
2 La 0.0000 0.0000 0.0000
3 La 0.2500 0.2500 0.2500
4 Ta 0.7500 0.7500 0.7500

Results
* magnetization: 1.9 μB/cell
* energy relative to the elements, uncorrected: 0.488 eV/atom
* D(E_F): 6.66 states/eV per cell
* crystal system: cubic

[3]
## LaTaCl2 (PBE)

Data for a geometry-optimized LaTaCl2 structure.

Cell lengths 3.2857, 3.2858, 9.2642 Å; angles 90.00, 90.00, 89.99 degrees
Atoms (fractional coordinates):
1 Cl 0.0000 0.0000 0.9248
2 Cl 0.5000 0.5000 0.2997
3 La 0.0000 0.0000 0.5022
4 Ta 0.5000 0.5000 0.7734

Results
* magnetization: 0.0 μB/cell
* energy relative to the elements, uncorrected: -0.695 eV/atom
* D(E_F): 4.55 states/eV per cell
* crystal system: tetragonal

[4]
## LaTaCl2 (PBE)

Data for a geometry-optimized LaTaCl2 structure.

Cell lengths 6.0060, 6.0060, 5.0960 Å; angles 83.21, 83.21, 31.34 degrees
Atoms (fractional coordinates):
1 Cl 0.9681 0.9681 0.0208
2 Cl 0.2292 0.2292 0.1603
3 La 0.5165 0.5165 0.5347
4 Ta 0.7862 0.7862 0.7841

Results
* magnetization: 0.0 μB/cell
* energy relative to the elements, uncorrected: -0.381 eV/atom
* D(E_F): 2.38 states/eV per cell
* crystal system: monoclinic

[5]
## La2TaCl (PBE)

Data for a geometry-optimized La2TaCl structure.

Cell lengths 3.3876, 3.3876, 9.2122 Å; angles 90.00, 90.00, 97.39 degrees
Atoms (fractional coordinates):
1 Cl 0.5000 0.5000 0.7500
2 La 0.0000 0.0000 0.0058
3 La 0.0000 0.0000 0.4942
4 Ta 0.5000 0.5000 0.2500

Results
* magnetization: 0.0 μB/cell
* energy relative to the elements, uncorrected: -0.399 eV/atom
* D(E_F): 2.95 states/eV per cell
* crystal system: orthorhombic

[6]
## LaTaCl2 (PBE)

Data for a geometry-optimized LaTaCl2 structure.

Cell lengths 6.1941, 6.1941, 6.1941 Å; angles 148.88, 134.39, 56.25 degrees
Atoms (fractional coordinates):
1 Cl 0.0397 0.0397 0.0000
2 Cl 0.7472 0.2472 0.5000
3 La 0.4855 0.4855 0.0000
4 Ta 0.2276 0.7276 0.5000

Results
* magnetization: 0.0 μB/cell
* energy relative to the elements, uncorrected: -0.318 eV/atom
* D(E_F): 4.43 states/eV per cell
* crystal system: orthorhombic